DFT (GGA-PBE) results for a geometry-optimized LaNd2GaI3 structure.

Properties
Crystal system = tetragonal
Total magnetization = 0.00 Bohr magnetons per cell
Final energy = -29.4 eV for the cell shown

Cell lengths 6.3042, 6.3042, 6.3050 Å; angles 90.00, 90.00, 90.00 degrees
Fractional positions:
La  0.0000  0.0000  0.0000
Nd  0.0000  0.5000  0.5000
Nd  0.5000  0.0000  0.5000
Ga  0.0000  0.0000  0.5000
I  0.0000  0.5000  0.0000
I  0.5000  0.0000  0.0000
I  0.5000  0.5000  0.5000

DFT (GGA-PBE) results for a geometry-optimized Hg4B structure.

Properties
Crystal system = tetragonal
Final energy = -9.2 eV for the cell shown

Cell lengths 4.3395, 4.3395, 11.5416 Å; angles 90.00, 90.00, 90.00 degrees
Fractional positions:
Hg  0.2500  0.2500  0.0085
Hg  0.2500  0.7500  0.2334
Hg  0.2500  0.7500  0.5000
Hg  0.2500  0.7500  0.7666
Hg  0.7500  0.2500  0.2334
Hg  0.7500  0.2500  0.5000
Hg  0.7500  0.2500  0.7666
Hg  0.7500  0.7500  0.9915
B  0.2500  0.2500  0.6471
B  0.7500  0.7500  0.3529

DFT (GGA-PBE) results for a geometry-optimized KAuNO structure.

Properties
Crystal system = tetragonal
Distance to the lowest polymorph of the same formula = 0.369 eV per atom

Cell lengths 4.1888, 4.1888, 9.3244 Å; angles 90.00, 90.00, 90.00 degrees
Fractional positions:
K  0.2500  0.2500  0.1645
K  0.7500  0.7500  0.8355
Au  0.2500  0.7500  0.5000
Au  0.7500  0.2500  0.5000
N  0.2500  0.2500  0.5540
N  0.7500  0.7500  0.4460
O  0.2500  0.7500  0.0000
O  0.7500  0.2500  0.0000

DFT (GGA-PBE) results for a geometry-optimized NbFeMoPb structure.

Properties
Crystal system = cubic
Total magnetization = 0.96 Bohr magnetons per cell
Distance to the lowest polymorph of the same formula = 0.000 eV per atom

Cell lengths 4.5706, 4.5706, 4.5706 Å; angles 60.00, 60.00, 60.00 degrees
Fractional positions:
Nb  0.0000  0.0000  0.0000
Fe  0.7500  0.7500  0.7500
Mo  0.2500  0.2500  0.2500
Pb  0.5000  0.5000  0.5000

DFT (GGA-PBE) results for a geometry-optimized Y2Zn2Ag structure.

Properties
Crystal system = tetragonal
Total magnetization = 0.37 Bohr magnetons per cell
Calculated formation energy = 60 kJ/mol of formula units

Cell lengths 5.9906, 5.9906, 5.9906 Å; angles 130.82, 130.82, 72.09 degrees
Fractional positions:
Y  0.2500  0.7500  0.5000
Y  0.7500  0.2500  0.5000
Zn  0.1153  0.1153  0.0000
Zn  0.8847  0.8847  0.0000
Ag  0.5000  0.5000  0.0000

DFT (GGA-PBE) results for a geometry-optimized CuGe2Te structure.

Properties
Crystal system = cubic
Final energy = -14.5 eV for the cell shown

Cell lengths 4.8523, 4.8523, 4.8523 Å; angles 60.00, 60.00, 60.00 degrees
Fractional positions:
Cu  0.0000  0.0000  0.0000
Ge  0.2500  0.2500  0.2500
Ge  0.5000  0.5000  0.5000
Te  0.7500  0.7500  0.7500

DFT (GGA-PBE) results for a geometry-optimized NaSiTcMo structure.

Properties
Crystal system = cubic
Total magnetization = 0.00 Bohr magnetons per cell
Distance to the lowest polymorph of the same formula = 0.093 eV per atom

Cell lengths 4.3934, 4.3934, 4.3934 Å; angles 60.00, 60.00, 60.00 degrees
Fractional positions:
Na  0.0000  0.0000  0.0000
Si  0.7500  0.7500  0.7500
Tc  0.2500  0.2500  0.2500
Mo  0.5000  0.5000  0.5000

DFT (GGA-PBE) results for a geometry-optimized Tb3GdB2Pb2 structure.

Properties
Crystal system = trigonal
Total magnetization = 0.52 Bohr magnetons per cell
Final energy = -40.7 eV for the cell shown

Cell lengths 3.7191, 3.7191, 16.8606 Å; angles 90.00, 90.00, 120.00 degrees
Fractional positions:
Tb  0.0000  0.0000  0.0000
Tb  0.0000  0.0000  0.3203
Tb  0.3333  0.6667  0.4989
Gd  0.3333  0.6667  0.8197
B  0.6667  0.3333  0.4096
B  0.6667  0.3333  0.9103
Pb  0.0000  0.0000  0.6589
Pb  0.3333  0.6667  0.1599